# YScTl2

Crystalline YScTl2 at its relaxed geometry (PBEsol, Alexandria).

Computed properties:
The energy of formation comes out at -0.287 eV/atom. As for the density of states at the Fermi level: 3.4 states/eV/f.u.

Geometry as POSCAR:
```
YScTl2
1.0
-2.297 0.799 2.613
-3.147 -1.675 0.184
2.009 -6.886 6.310
Tl Sc Y
2 1 1
direct
0.746 0.746 0.761
0.254 0.254 0.239
0.000 0.000 0.000
0.500 0.500 0.500
```

=====

# MnAlBr2

Crystalline MnAlBr2 at its relaxed geometry (PBEsol, Alexandria).

Computed properties:
As for the density of states at the Fermi level: 1.9 states/eV/f.u. The formation energy from raw total energies comes out at -1.24 eV/f.u. The energy above the most stable polymorph in this dataset comes out at 0 meV/atom.

Geometry as POSCAR:
```
MnAlBr2
1.0
-2.549 0.021 -2.318
-3.074 -1.330 0.808
-4.457 7.299 2.409
Br Al Mn
2 1 1
direct
0.777 0.777 0.670
0.977 0.977 0.070
0.242 0.242 0.274
0.505 0.505 0.486
```

=====

# MnH2SO5

Crystalline MnH2SO5 at its relaxed geometry (PBEsol, Alexandria).

Computed properties:
As for the density of states at the Fermi level: 0.0 states/eV/f.u. The calculation puts the raw total energy at -117.788 eV/cell.

Geometry as POSCAR:
```
MnH2SO5
1.0
-1.733 4.926 0.445
-2.800 -1.557 -4.148
-2.872 -3.839 6.086
O H S Mn
10 4 2 2
direct
0.889 0.111 0.750
0.295 0.672 0.900
0.672 0.295 0.400
0.724 0.673 0.835
0.673 0.724 0.335
0.328 0.705 0.600
0.111 0.889 0.250
0.276 0.327 0.165
0.327 0.276 0.665
0.705 0.328 0.100
0.058 0.136 0.711
0.864 0.942 0.789
0.942 0.864 0.289
0.136 0.058 0.211
0.416 0.584 0.750
0.584 0.416 0.250
0.000 0.500 0.000
0.500 0.000 0.500
```

=====

# La2Y

Crystalline La2Y at its relaxed geometry (PBEsol, Alexandria).

Computed properties:
The energy of formation comes out at 0.029 eV/atom. As for the density of states at the Fermi level: 5.9 states/eV/f.u. The energy above the most stable polymorph in this dataset comes out at 17 meV/atom.

Geometry as POSCAR:
```
La2Y
1.0
3.635 0.000 0.000
0.000 3.635 0.000
-1.818 -1.818 7.490
Y La
1 2
direct
0.000 0.000 0.000
0.333 0.333 0.665
0.667 0.667 0.335
```

=====

# AlCOF2

Crystalline AlCOF2 at its relaxed geometry (PBEsol, Alexandria).

Computed properties:
As for the density of states at the Fermi level: 1.5 states/eV/f.u. The formation energy from raw total energies comes out at -0.53 eV/f.u.

Geometry as POSCAR:
```
AlCOF2
1.0
-1.005 -1.626 -1.899
-0.652 -3.193 3.080
-4.109 1.608 0.797
C O F Al
1 1 2 1
direct
0.000 0.000 0.000
0.500 0.000 0.000
0.000 0.000 0.500
0.000 0.500 0.000
0.500 0.500 0.500
```

=====

# SmGe5

Crystalline SmGe5 at its relaxed geometry (PBEsol, Alexandria).

Computed properties:
The energy of formation comes out at -0.308 eV/atom. As for the density of states at the Fermi level: 2.2 states/eV/f.u.

Geometry as POSCAR:
```
SmGe5
1.0
-3.579 -0.732 1.586
0.701 -1.865 5.721
-1.005 3.896 4.529
Ge Sm
5 1
direct
0.832 0.876 0.461
0.832 0.461 0.876
0.168 0.539 0.124
0.500 0.500 0.500
0.168 0.124 0.539
0.500 0.000 0.000
```

=====

# GaAsSe2Cl

Crystalline GaAsSe2Cl at its relaxed geometry (PBEsol, Alexandria).

Computed properties:
As for the density of states at the Fermi level: 3.9 states/eV/f.u. The formation energy from raw total energies comes out at 2.42 eV/f.u. The energy above the most stable polymorph in this dataset comes out at 0 meV/atom.

Geometry as POSCAR:
```
GaAsSe2Cl
1.0
-1.485 3.914 -2.371
-2.480 1.406 3.876
4.054 2.549 1.669
Se Ga As Cl
2 1 1 1
direct
0.500 0.000 0.000
0.000 0.500 0.000
0.000 0.000 0.000
0.000 0.000 0.500
0.500 0.500 0.500
```

=====

# KTaF6

Crystalline KTaF6 at its relaxed geometry (PBEsol, Alexandria).

Computed properties:
As for the density of states at the Fermi level: 0.0 states/eV/f.u. The formation energy from raw total energies comes out at -26.12 eV/f.u.

Geometry as POSCAR:
```
KTaF6
1.0
5.252 0.000 0.000
0.000 5.252 0.000
0.000 0.000 9.735
F Ta K
12 2 2
direct
0.242 0.242 0.250
0.317 0.683 0.388
0.683 0.683 0.888
0.683 0.683 0.612
0.242 0.758 0.750
0.317 0.683 0.112
0.317 0.317 0.612
0.758 0.242 0.750
0.758 0.758 0.250
0.683 0.317 0.112
0.317 0.317 0.888
0.683 0.317 0.388
0.500 0.500 0.750
0.500 0.500 0.250
0.000 0.000 0.000
0.000 0.000 0.500
```

=====

# SnTeBrN2

Crystalline SnTeBrN2 at its relaxed geometry (PBEsol, Alexandria).

Computed properties:
As for the density of states at the Fermi level: 5.0 states/eV/f.u. The formation energy from raw total energies comes out at 9.26 eV/f.u.

Geometry as POSCAR:
```
SnTeBrN2
1.0
4.271 0.000 0.000
0.000 4.271 0.000
0.000 0.000 5.545
N Sn Br Te
2 1 1 1
direct
0.500 0.000 0.000
0.000 0.500 0.000
0.500 0.500 0.500
0.000 0.000 0.000
0.000 0.000 0.500
```

=====

# ZnBN2O

Crystalline ZnBN2O at its relaxed geometry (PBEsol, Alexandria).

Computed properties:
As for the density of states at the Fermi level: 1.5 states/eV/f.u. The formation energy from raw total energies comes out at 1.73 eV/f.u.

Geometry as POSCAR:
```
ZnBN2O
1.0
2.947 0.000 0.000
0.000 2.947 0.000
0.000 0.000 6.040
N Zn B O
2 1 1 1
direct
0.000 0.500 0.000
0.500 0.000 0.000
0.500 0.500 0.500
0.000 0.000 0.000
0.000 0.000 0.500
```

=====

# CaZr4Si

Crystalline CaZr4Si at its relaxed geometry (PBEsol, Alexandria).

Computed properties:
As for the density of states at the Fermi level: 8.2 states/eV/f.u. The formation energy from raw total energies comes out at 2.41 eV/f.u.

Geometry as POSCAR:
```
CaZr4Si
1.0
-0.645 5.630 -0.977
-0.303 1.966 -5.396
-4.982 2.010 -2.052
Si Zr Ca
1 4 1
direct
0.000 0.000 0.000
0.869 0.377 0.377
0.377 0.869 0.377
0.377 0.377 0.869
0.377 0.377 0.377
0.750 0.750 0.750
```

=====

# Cs2ScCuCl6

Crystalline Cs2ScCuCl6 at its relaxed geometry (PBEsol, Alexandria).

Computed properties:
As for the density of states at the Fermi level: 0.0 states/eV/f.u. The formation energy from raw total energies comes out at -17.52 eV/f.u.

Geometry as POSCAR:
```
Cs2ScCuCl6
1.0
7.084 0.000 0.000
3.542 6.135 0.000
3.542 2.045 5.784
Cl Sc Cs Cu
6 1 2 1
direct
0.751 0.249 0.751
0.249 0.249 0.751
0.249 0.751 0.249
0.249 0.751 0.751
0.751 0.249 0.249
0.751 0.751 0.249
0.000 0.000 0.000
0.250 0.250 0.250
0.750 0.750 0.750
0.500 0.500 0.500
```

=====

# RbTe2PbSe

Crystalline RbTe2PbSe at its relaxed geometry (PBEsol, Alexandria).

Computed properties:
As for the density of states at the Fermi level: 3.6 states/eV/f.u. The formation energy from raw total energies comes out at 0.23 eV/f.u.

Geometry as POSCAR:
```
RbTe2PbSe
1.0
5.520 0.000 0.000
0.000 5.520 0.000
0.000 0.000 5.854
Te Pb Rb Se
2 1 1 1
direct
0.000 0.500 0.000
0.500 0.000 0.000
0.500 0.500 0.500
0.000 0.000 0.500
0.000 0.000 0.000
```

=====

# ZrAl4Si2

Crystalline ZrAl4Si2 at its relaxed geometry (PBEsol, Alexandria).

Computed properties:
As for the density of states at the Fermi level: 3.5 states/eV/f.u. The formation energy from raw total energies comes out at 0.85 eV/f.u.

Geometry as POSCAR:
```
ZrAl4Si2
1.0
4.316 0.000 0.000
-2.158 3.738 0.000
0.000 0.000 8.420
Si Al Zr
2 4 1
direct
0.667 0.333 0.971
0.333 0.667 0.029
0.667 0.333 0.669
0.333 0.667 0.331
0.333 0.667 0.718
0.667 0.333 0.282
0.000 0.000 0.500
```

=====

# KCd4

Crystalline KCd4 at its relaxed geometry (PBEsol, Alexandria).

Computed properties:
The energy of formation comes out at -0.003 eV/atom. As for the density of states at the Fermi level: 2.0 states/eV/f.u. The energy above the most stable polymorph in this dataset comes out at 0 meV/atom.

Geometry as POSCAR:
```
KCd4
1.0
5.322 0.000 0.000
2.661 4.892 0.000
2.661 0.000 4.892
Cd K
4 1
direct
0.799 0.701 0.701
0.500 0.701 0.299
0.201 0.299 0.299
0.500 0.299 0.701
0.000 0.000 0.000
```

=====

# MnReRh2

Crystalline MnReRh2 at its relaxed geometry (PBEsol, Alexandria).

Computed properties:
The energy of formation comes out at -0.070 eV/atom. As for the density of states at the Fermi level: 3.9 states/eV/f.u. The energy above the most stable polymorph in this dataset comes out at 29 meV/atom.

Geometry as POSCAR:
```
MnReRh2
1.0
3.751 0.000 0.000
0.000 3.751 0.000
-1.876 -1.876 3.750
Rh Mn Re
2 1 1
direct
0.750 0.250 0.500
0.250 0.750 0.500
0.500 0.500 0.000
0.000 0.000 0.000
```

=====

# InHgW2

Crystalline InHgW2 at its relaxed geometry (PBEsol, Alexandria).

Computed properties:
The energy of formation comes out at 0.736 eV/atom. As for the density of states at the Fermi level: 2.5 states/eV/f.u. The energy above the most stable polymorph in this dataset comes out at 225 meV/atom.

Geometry as POSCAR:
```
InHgW2
1.0
2.817 0.022 0.000
-0.917 2.664 0.000
0.000 0.000 9.370
In W Hg
1 2 1
direct
0.500 0.500 0.000
0.000 0.000 0.248
0.000 0.000 0.752
0.500 0.500 0.500
```

=====

# KB6H6

Crystalline KB6H6 at its relaxed geometry (PBEsol, Alexandria).

Computed properties:
As for the density of states at the Fermi level: 0.0 states/eV/f.u. The calculation puts the raw total energy at -135.363 eV/cell.

Geometry as POSCAR:
```
KB6H6
1.0
-6.660 -3.025 0.735
-3.849 -1.909 -5.966
-1.009 -7.103 -1.606
B H K
12 12 2
direct
0.053 0.777 0.947
0.223 0.777 0.053
0.777 0.223 0.947
0.777 0.947 0.053
0.053 0.223 0.777
0.947 0.053 0.777
0.947 0.223 0.053
0.947 0.777 0.223
0.223 0.053 0.947
0.053 0.947 0.223
0.223 0.947 0.777
0.777 0.053 0.223
0.906 0.618 0.382
0.094 0.906 0.382
0.094 0.382 0.618
0.382 0.618 0.094
0.906 0.094 0.618
0.618 0.906 0.094
0.618 0.382 0.906
0.382 0.906 0.618
0.618 0.094 0.382
0.906 0.382 0.094
0.382 0.094 0.906
0.094 0.618 0.906
0.750 0.750 0.750
0.250 0.250 0.250
```

=====

# Ca2LaPb2

Crystalline Ca2LaPb2 at its relaxed geometry (PBEsol, Alexandria).

Computed properties:
The energy of formation comes out at -0.508 eV/atom. As for the density of states at the Fermi level: 2.7 states/eV/f.u.

Geometry as POSCAR:
```
Ca2LaPb2
1.0
3.627 0.000 0.000
0.000 9.264 0.000
0.000 0.000 9.264
Pb Ca La
4 4 2
direct
0.000 0.670 0.170
0.000 0.830 0.670
0.000 0.330 0.830
0.000 0.170 0.330
0.500 0.869 0.369
0.500 0.369 0.131
0.500 0.131 0.631
0.500 0.631 0.869
0.000 0.500 0.500
0.000 0.000 0.000
```

=====

# In2AgSe

Crystalline In2AgSe at its relaxed geometry (PBEsol, Alexandria).

Computed properties:
As for the density of states at the Fermi level: 1.3 states/eV/f.u. The formation energy from raw total energies comes out at -0.72 eV/f.u.

Geometry as POSCAR:
```
In2AgSe
1.0
-2.984 -0.655 2.214
0.474 -1.616 3.376
-0.019 5.905 4.937
In Se Ag
2 1 1
direct
0.750 0.750 0.749
0.250 0.250 0.251
0.000 0.000 0.000
0.500 0.500 0.500
```

=====

# BeZnSbTe2

Crystalline BeZnSbTe2 at its relaxed geometry (PBEsol, Alexandria).

Computed properties:
As for the density of states at the Fermi level: 4.7 states/eV/f.u. The formation energy from raw total energies comes out at 4.81 eV/f.u.

Geometry as POSCAR:
```
BeZnSbTe2
1.0
5.039 0.000 0.000
0.000 5.214 0.000
0.000 0.000 5.214
Te Be Zn Sb
2 1 1 1
direct
0.000 0.500 0.000
0.000 0.000 0.500
0.500 0.500 0.500
0.000 0.000 0.000
0.500 0.000 0.000
```

=====

# TaTl2Br

Crystalline TaTl2Br at its relaxed geometry (PBEsol, Alexandria).

Computed properties:
As for the density of states at the Fermi level: 3.4 states/eV/f.u. The formation energy from raw total energies comes out at 2.99 eV/f.u. The energy above the most stable polymorph in this dataset comes out at 544 meV/atom.

Geometry as POSCAR:
```
TaTl2Br
1.0
-0.720 1.807 -3.783
3.339 -2.074 -1.626
-4.357 -3.766 1.421
Ta Br Tl
1 1 2
direct
0.250 0.750 0.500
0.500 0.500 0.000
0.750 0.250 0.500
0.000 0.000 0.000
```

=====

# CsIn2Se2

Crystalline CsIn2Se2 at its relaxed geometry (PBEsol, Alexandria).

Computed properties:
As for the density of states at the Fermi level: 1.3 states/eV/f.u. The formation energy from raw total energies comes out at -2.55 eV/f.u.

Geometry as POSCAR:
```
CsIn2Se2
1.0
-4.410 0.689 -2.815
-2.853 -0.130 4.437
4.236 5.927 -0.241
In Se Cs
2 2 1
direct
0.250 0.750 0.500
0.750 0.250 0.500
0.662 0.662 0.324
0.338 0.338 0.676
0.000 0.000 0.000
```

=====

# MgCuW2

Crystalline MgCuW2 at its relaxed geometry (PBEsol, Alexandria).

Computed properties:
The energy of formation comes out at 0.525 eV/atom. As for the density of states at the Fermi level: 3.5 states/eV/f.u.

Geometry as POSCAR:
```
MgCuW2
1.0
4.401 0.000 0.000
-2.201 3.793 0.398
0.000 2.150 3.840
Mg W Cu
1 2 1
direct
0.750 0.500 0.750
0.250 0.500 0.250
0.000 0.000 0.000
0.500 0.000 0.500
```

=====

# TcSb2Au

Crystalline TcSb2Au at its relaxed geometry (PBEsol, Alexandria).

Computed properties:
As for the density of states at the Fermi level: 4.2 states/eV/f.u. The formation energy from raw total energies comes out at 1.75 eV/f.u. The energy above the most stable polymorph in this dataset comes out at 333 meV/atom.

Geometry as POSCAR:
```
TcSb2Au
1.0
4.778 0.000 0.000
2.389 4.138 0.000
2.389 1.379 3.901
Au Tc Sb
1 1 2
direct
0.000 0.000 0.000
0.500 0.500 0.500
0.750 0.750 0.750
0.250 0.250 0.250
```

=====

no.,total magnetic moment (μB/atom)
1,0.000
2,1.000
3,0.556
4,0.000
5,0.000
6,0.000
7,0.000
8,0.000
9,0.351
10,0.000
11,0.000
12,0.006
13,0.000
14,0.000
15,0.000
16,0.469
17,0.000
18,0.000
19,0.000
20,0.000
21,0.000
22,0.143
23,0.000
24,0.000
25,0.286